KYRu2: single point on PBEsol structure, SCAN.

Excess energy over the best structure of this formula in the dataset in eV/atom: 0.052
SG: No. 44
Formation energy in meV per atom: 453

Cell: 3.959 4.605 6.844 Å, 109.66 106.81 90.00°
Positions (direct):
K (0.283, 0.783, 0.566)
Ru (0.052, 0.052, 0.104)
Ru (0.645, 0.145, 0.289)
Y (0.520, 0.520, 0.040)

CrAg4Mo: single point on PBEsol structure, SCAN.

SG: No. 216
Formation energy in meV per atom: 570

Cell: 5.247 5.247 5.247 Å, 60.00 60.00 60.00°
Positions (direct):
Ag (0.375, 0.375, 0.375)
Ag (0.375, 0.375, 0.875)
Ag (0.875, 0.375, 0.375)
Ag (0.375, 0.875, 0.375)
Cr (0.750, 0.750, 0.750)
Mo (0.000, 0.000, 0.000)

DyCoSn: single point on PBEsol structure, SCAN.

SG: No. 62
Formation energy in meV per atom: -520

Cell: 4.519 7.073 7.242 Å, 90.00 90.00 90.00°
Positions (direct):
Dy (0.750, 0.695, 0.527)
Dy (0.250, 0.305, 0.473)
Dy (0.750, 0.805, 0.027)
Dy (0.250, 0.195, 0.973)
Co (0.250, 0.943, 0.649)
Co (0.750, 0.443, 0.851)
Co (0.250, 0.557, 0.149)
Co (0.750, 0.057, 0.351)
Sn (0.750, 0.388, 0.201)
Sn (0.250, 0.888, 0.299)
Sn (0.750, 0.112, 0.701)
Sn (0.250, 0.612, 0.799)

Tm2CdSe4: single point on PBEsol structure, SCAN.

SG: No. 227
ΔE_f (raw) in eV/atom: -1.702

Cell: 8.137 8.137 8.137 Å, 60.00 60.00 60.00°
Positions (direct):
Tm (0.625, 0.125, 0.625)
Tm (0.625, 0.625, 0.125)
Tm (0.625, 0.625, 0.625)
Tm (0.125, 0.625, 0.625)
Cd (0.250, 0.250, 0.250)
Cd (0.000, 0.000, 0.000)
Se (0.382, 0.382, 0.853)
Se (0.868, 0.397, 0.868)
Se (0.397, 0.868, 0.868)
Se (0.868, 0.868, 0.868)
Se (0.853, 0.382, 0.382)
Se (0.382, 0.382, 0.382)
Se (0.868, 0.868, 0.397)
Se (0.382, 0.853, 0.382)

LiLa5Ti8O24: single point on PBEsol structure, SCAN.

Excess energy over the best structure of this formula in the dataset in eV/atom: 0.020
SG: No. 6
ΔE_f (raw) in eV/atom: -3.498

Cell: 7.699 7.701 7.793 Å, 89.95 90.00 90.00°
Positions (direct):
Li (0.000, 0.207, 0.241)
La (0.500, 0.982, 0.758)
La (0.500, 0.508, 0.250)
La (0.500, 0.002, 0.256)
La (0.000, 0.503, 0.737)
La (0.000, 0.002, 0.753)
Ti (0.252, 0.262, 0.997)
Ti (0.753, 0.748, 0.499)
Ti (0.247, 0.748, 0.499)
Ti (0.756, 0.752, 0.007)
Ti (0.244, 0.752, 0.007)
Ti (0.750, 0.257, 0.498)
Ti (0.250, 0.257, 0.498)
Ti (0.748, 0.262, 0.997)
O (0.772, 0.253, 0.743)
O (0.000, 0.722, 0.962)
O (0.500, 0.726, 0.478)
O (0.773, 0.000, 0.975)
O (0.500, 0.206, 0.991)
O (0.714, 0.502, 0.005)
O (0.744, 0.755, 0.743)
O (0.262, 0.240, 0.242)
O (0.000, 0.276, 0.993)
O (0.265, 0.761, 0.245)
O (0.256, 0.755, 0.743)
O (0.216, 0.502, 0.492)
O (0.735, 0.761, 0.245)
O (0.784, 0.502, 0.492)
O (0.000, 0.214, 0.491)
O (0.500, 0.282, 0.478)
O (0.296, 0.003, 0.509)
O (0.228, 0.253, 0.743)
O (0.000, 0.782, 0.524)
O (0.704, 0.003, 0.509)
O (0.286, 0.502, 0.005)
O (0.500, 0.791, 0.005)
O (0.738, 0.240, 0.242)
O (0.227, 0.000, 0.975)

CdBRh3: single point on PBEsol structure, SCAN.

Excess energy over the best structure of this formula in the dataset in eV/atom: 0.000
SG: No. 12
Formation energy in meV per atom: -262

Cell: 2.807 5.318 9.039 Å, 93.66 98.93 90.00°
Positions (direct):
B (0.355, 0.647, 0.709)
B (0.645, 0.353, 0.291)
Rh (0.058, 0.356, 0.116)
Rh (0.807, 0.892, 0.614)
Rh (0.942, 0.644, 0.884)
Rh (0.803, 0.382, 0.607)
Rh (0.197, 0.618, 0.393)
Rh (0.193, 0.108, 0.386)
Cd (0.428, 0.152, 0.857)
Cd (0.572, 0.848, 0.143)

LiAgAs: single point on PBEsol structure, SCAN.

Excess energy over the best structure of this formula in the dataset in eV/atom: 0.050
SG: No. 216
Formation energy in meV per atom: -270

Cell: 4.254 4.254 4.254 Å, 60.00 60.00 60.00°
Positions (direct):
As (0.250, 0.250, 0.250)
Ag (0.500, 0.500, 0.500)
Li (0.000, 0.000, 0.000)

ZrNiIr: single point on PBEsol structure, SCAN.

SG: No. 216
Formation energy in meV per atom: -20

Cell: 4.233 4.233 4.233 Å, 60.00 60.00 60.00°
Positions (direct):
Ir (0.000, 0.000, 0.000)
Ni (0.500, 0.500, 0.500)
Zr (0.750, 0.750, 0.750)

FeHgRu2: single point on PBEsol structure, SCAN.

SG: No. 71
Formation energy in meV per atom: 410

Cell: 2.765 4.488 5.334 Å, 114.88 105.03 90.00°
Positions (direct):
Fe (0.500, 0.000, 0.000)
Hg (0.000, 0.500, 0.000)
Ru (0.781, 0.781, 0.561)
Ru (0.219, 0.219, 0.439)